! NaTi4Co3O12 GGA+U optimized geometry; values from VASP
&SYSTEM
  ibrav = 0, nat = 20, ntyp = 4
/
ATOMIC_SPECIES
Na 22.99 Na.upf
Ti 47.87 Ti.upf
Co 58.93 Co.upf
O 16.00 O.upf
ATOMIC_POSITIONS crystal
Na 0.0000 0.0000 0.0000
Ti 0.0000 0.0000 0.5000
Ti 0.0000 0.5000 0.0000
Ti 0.5000 0.0000 0.0000
Ti 0.5000 0.5000 0.5000
Co 0.0000 0.5000 0.5000
Co 0.5000 0.0000 0.5000
Co 0.5000 0.5000 0.0000
O 0.1329 0.8213 0.3116
O 0.1787 0.3116 0.4903
O 0.1787 0.6884 0.8671
O 0.3116 0.1329 0.8213
O 0.3116 0.4903 0.1787
O 0.4903 0.1787 0.3116
O 0.5097 0.8213 0.6884
O 0.6884 0.5097 0.8213
O 0.6884 0.8671 0.1787
O 0.8213 0.3116 0.1329
O 0.8213 0.6884 0.5097
O 0.8671 0.1787 0.6884
CELL_PARAMETERS angstrom
-3.7057 3.7057 3.7057
3.7057 -3.7057 3.7057
3.7057 3.7057 -3.7057
! - space group = No. 204
! - mass density (g/cm3) = 4.8
! - electronic total energy (eV per cell) = -150.85